(1)
# Dy3Zn3Pd2 GGA-PBE optimized geometry
data_Dy3Zn3Pd2
_cell_length_a 7.2143
_cell_length_b 7.2143
_cell_length_c 3.7632
_cell_angle_alpha 90.00
_cell_angle_beta 90.00
_cell_angle_gamma 120.00
_symmetry_space_group_name_H-M 'P -6 2 m'
_symmetry_Int_Tables_number 189
_symmetry_space_group_name_Hall 'P -6 -2'
loop_
_atom_site_label
_atom_site_fract_x
_atom_site_fract_y
_atom_site_fract_z
Dy1 0.0000 0.4016 0.0000
Zn1 0.0000 0.7722 0.5000
Pd1 0.3333 0.6667 0.5000
# ΔE_f	-606	meV/atom


(2)
# Dy2ZnPd3 GGA-PBE optimized geometry
data_Dy2ZnPd3
_cell_length_a 4.4698
_cell_length_b 5.4331
_cell_length_c 10.2772
_cell_angle_alpha 90.00
_cell_angle_beta 90.00
_cell_angle_gamma 90.00
_symmetry_space_group_name_H-M 'I m m m'
_symmetry_Int_Tables_number 71
_symmetry_space_group_name_Hall '-I 2 2'
loop_
_atom_site_label
_atom_site_fract_x
_atom_site_fract_y
_atom_site_fract_z
Dy1 0.0000 0.0000 0.1890
Zn1 0.0000 0.0000 0.5000
Pd1 0.0000 0.5000 0.1301
Pd2 0.0000 0.5000 0.5000
# ΔE_f	-617	meV/atom


(3)
# Dy3Zn9Pd2 GGA-PBE optimized geometry
data_Dy3Zn9Pd2
_cell_length_a 4.3106
_cell_length_b 8.8939
_cell_length_c 13.0504
_cell_angle_alpha 90.00
_cell_angle_beta 90.00
_cell_angle_gamma 90.00
_symmetry_space_group_name_H-M 'I m m m'
_symmetry_Int_Tables_number 71
_symmetry_space_group_name_Hall '-I 2 2'
loop_
_atom_site_label
_atom_site_fract_x
_atom_site_fract_y
_atom_site_fract_z
Dy1 0.0000 0.0000 0.0000
Dy2 0.0000 0.0000 0.3050
Zn1 0.0000 0.2810 0.1303
Zn2 0.0000 0.3589 0.3318
Zn3 0.0000 0.5000 0.0000
Pd1 0.0000 0.1961 0.5000
# ΔE_f	-462	meV/atom


(4)
# Dy2Zn12Pd5 GGA-PBE optimized geometry
data_Dy2Zn12Pd5
_cell_length_a 9.1078
_cell_length_b 9.1078
_cell_length_c 13.1049
_cell_angle_alpha 90.00
_cell_angle_beta 90.00
_cell_angle_gamma 120.00
_symmetry_space_group_name_H-M 'R -3 m'
_symmetry_Int_Tables_number 166
_symmetry_space_group_name_Hall '-R 3 2"'
loop_
_atom_site_label
_atom_site_fract_x
_atom_site_fract_y
_atom_site_fract_z
Dy1 0.0000 0.0000 0.1753
Zn1 0.0000 0.2927 0.5000
Zn2 0.0043 0.5022 0.6514
Pd1 0.0000 0.0000 0.3962
Pd2 0.0000 0.5000 0.0000
# ΔE_f	-418	meV/atom


(5)
# Dy3Zn2Pd5 GGA-PBE optimized geometry
data_Dy3Zn2Pd5
_cell_length_a 9.8618
_cell_length_b 9.8618
_cell_length_c 3.8820
_cell_angle_alpha 90.00
_cell_angle_beta 90.00
_cell_angle_gamma 90.00
_symmetry_space_group_name_H-M 'P 4/m b m'
_symmetry_Int_Tables_number 127
_symmetry_space_group_name_Hall '-P 4 2ab'
loop_
_atom_site_label
_atom_site_fract_x
_atom_site_fract_y
_atom_site_fract_z
Dy1 0.0000 0.0000 0.0000
Dy2 0.1753 0.3247 0.0000
Zn1 0.1196 0.6196 0.0000
Pd1 0.0000 0.5000 0.5000
Pd2 0.0705 0.7881 0.5000
# ΔE_f	-781	meV/atom


(6)
# DyZn3Pd GGA-PBE optimized geometry
data_DyZn3Pd
_cell_length_a 5.4775
_cell_length_b 5.3779
_cell_length_c 6.0158
_cell_angle_alpha 90.00
_cell_angle_beta 92.08
_cell_angle_gamma 90.00
_symmetry_space_group_name_H-M 'P 1 21/m 1'
_symmetry_Int_Tables_number 11
loop_
_symmetry_equiv_pos_as_xyz
'x,y,z'
'-x,-y,-z'
'-x,y+1/2,-z'
'x,-y+1/2,z'
loop_
_atom_site_label
_atom_site_fract_x
_atom_site_fract_y
_atom_site_fract_z
Dy1 0.1527 0.2500 0.1767
Zn1 0.3376 0.0078 0.6686
Zn2 0.3688 0.7500 0.0430
Pd1 0.0806 0.7500 0.3700
# ΔE_f	-500	meV/atom


(7)
# DyZnPd2 GGA-PBE optimized geometry
data_DyZnPd2
_cell_length_a 4.5010
_cell_length_b 4.5010
_cell_length_c 3.5603
_cell_angle_alpha 90.00
_cell_angle_beta 90.00
_cell_angle_gamma 90.00
_symmetry_space_group_name_H-M 'P 4/m m m'
_symmetry_Int_Tables_number 123
_symmetry_space_group_name_Hall '-P 4 2'
loop_
_atom_site_label
_atom_site_fract_x
_atom_site_fract_y
_atom_site_fract_z
Dy1 0.0000 0.0000 0.0000
Zn1 0.5000 0.5000 0.0000
Pd1 0.0000 0.5000 0.5000
# ΔE_f	-661	meV/atom


(8)
# DyZn3Pd4 GGA-PBE optimized geometry
data_DyZn3Pd4
_cell_length_a 4.4438
_cell_length_b 4.4438
_cell_length_c 22.9273
_cell_angle_alpha 90.00
_cell_angle_beta 90.00
_cell_angle_gamma 120.00
_symmetry_space_group_name_H-M 'R -3 m'
_symmetry_Int_Tables_number 166
_symmetry_space_group_name_Hall '-R 3 2"'
loop_
_atom_site_label
_atom_site_fract_x
_atom_site_fract_y
_atom_site_fract_z
Dy1 0.0000 0.0000 0.0000
Zn1 0.0000 0.0000 0.2463
Zn2 0.0000 0.0000 0.5000
Pd1 0.0000 0.0000 0.1284
Pd2 0.0000 0.0000 0.3902
# ΔE_f	-631	meV/atom


(9)
# DyZn4Pd4 GGA-PBE optimized geometry
data_DyZn4Pd4
_cell_length_a 8.0162
_cell_length_b 8.0162
_cell_length_c 4.7803
_cell_angle_alpha 90.00
_cell_angle_beta 90.00
_cell_angle_gamma 90.00
_symmetry_space_group_name_H-M 'I 4/m'
_symmetry_Int_Tables_number 87
_symmetry_space_group_name_Hall '-I 4'
loop_
_atom_site_label
_atom_site_fract_x
_atom_site_fract_y
_atom_site_fract_z
Dy1 0.0000 0.0000 0.0000
Zn1 0.1210 0.2336 0.5000
Pd1 0.0730 0.3486 0.0000
# ΔE_f	-424	meV/atom


(10)
# Dy2Zn2Pd GGA-PBE optimized geometry
data_Dy2Zn2Pd
_cell_length_a 10.1592
_cell_length_b 4.3332
_cell_length_c 10.5953
_cell_angle_alpha 90.00
_cell_angle_beta 113.34
_cell_angle_gamma 90.00
_symmetry_space_group_name_H-M 'C 1 2/m 1'
_symmetry_Int_Tables_number 12
loop_
_symmetry_equiv_pos_as_xyz
'x,y,z'
'-x,-y,-z'
'-x,y,-z'
'x,-y,z'
'x+1/2,y+1/2,z'
'-x+1/2,-y+1/2,-z'
'-x+1/2,y+1/2,-z'
'x+1/2,-y+1/2,z'
loop_
_atom_site_label
_atom_site_fract_x
_atom_site_fract_y
_atom_site_fract_z
Dy1 0.0116 0.0000 0.3353
Dy2 0.1939 0.0000 0.1160
Zn1 0.0199 0.5000 0.8889
Zn2 0.1445 0.5000 0.5562
Pd1 0.2196 0.5000 0.3313
# ΔE_f	-545	meV/atom


(11)
# Dy3ZnPd2 GGA-PBE optimized geometry
data_Dy3ZnPd2
_cell_length_a 4.9868
_cell_length_b 4.9868
_cell_length_c 12.2159
_cell_angle_alpha 90.00
_cell_angle_beta 90.00
_cell_angle_gamma 120.00
_symmetry_space_group_name_H-M 'P -3 m 1'
_symmetry_Int_Tables_number 164
_symmetry_space_group_name_Hall '-P 3 2"'
loop_
_atom_site_label
_atom_site_fract_x
_atom_site_fract_y
_atom_site_fract_z
Dy1 0.0000 0.0000 0.2463
Dy2 0.3333 0.6667 0.4182
Dy3 0.3333 0.6667 0.9208
Zn1 0.3333 0.6667 0.6707
Pd1 0.0000 0.0000 0.0000
Pd2 0.0000 0.0000 0.5000
Pd3 0.3333 0.6667 0.1742
# ΔE_f	-705	meV/atom


(12)
# DyZnPd GGA-PBE optimized geometry
data_DyZnPd
_cell_length_a 3.5612
_cell_length_b 3.5612
_cell_length_c 9.1952
_cell_angle_alpha 90.00
_cell_angle_beta 90.00
_cell_angle_gamma 90.00
_symmetry_space_group_name_H-M 'I 4 m m'
_symmetry_Int_Tables_number 107
_symmetry_space_group_name_Hall 'I 4 -2'
loop_
_atom_site_label
_atom_site_fract_x
_atom_site_fract_y
_atom_site_fract_z
Dy1 0.0000 0.0000 0.0000
Zn1 0.0000 0.0000 0.6838
Pd1 0.0000 0.0000 0.3261
# ΔE_f	-636	meV/atom


What is the formula in the ninth record? DyZn4Pd4